# RbLi2GePt (PBE, relaxed)
data_RbLi2GePt
_cell_length_a 5.1619
_cell_length_b 5.1619
_cell_length_c 4.7181
_cell_angle_alpha 90.00
_cell_angle_beta 90.00
_cell_angle_gamma 90.00
_symmetry_space_group_name_H-M 'P 4/m m m'
_symmetry_Int_Tables_number 123
_symmetry_space_group_name_Hall '-P 4 2'
loop_
_atom_site_label
_atom_site_fract_x
_atom_site_fract_y
_atom_site_fract_z
_atom_site_occupancy
Rb1 0.0000 0.0000 0.0000 1
Li1 0.0000 0.5000 0.5000 1
Ge1 0.5000 0.5000 0.0000 1
Pt1 0.5000 0.5000 0.5000 1
# N(E_F): 1.3 states/eV/cell
# spin magnetization: 0.00 μB/f.u.
# calculated density: 4849 kg/m³
# crystal system: tetragonal
# E_form: -337 meV per atom